# AcZnSb4

A geometry-optimized AcZnSb4 structure (GGA-PBE, the Alexandria database).

Lattice parameters (Å, degrees): 6.3462 6.3462 6.3462 60.00 60.00 60.00
Last column: nearest neighbours and their distance in Å.
Positions (direct):
Ac (0.2500, 0.2500, 0.2500)  12 Sb 3.73, 4 Zn 3.89
Sb (0.6282, 0.6282, 0.6282)  6 Sb 3.09-3.25
Sb (0.6282, 0.6282, 0.1154)  6 Sb 3.09-3.25
Sb (0.1154, 0.6282, 0.6282)  6 Sb 3.09-3.25
Sb (0.6282, 0.1154, 0.6282)  6 Sb 3.09-3.25
Zn (0.0000, 0.0000, 0.0000)  12 Sb 3.71, 4 Ac 3.89

Calculated values
space-group type	F-43m (216)
crystal system	cubic
E_form (uncorrected)	-0.8	eV/f.u.
E_tot	-22.709	eV/cell

=====

# Hf5In2H2

A geometry-optimized Hf5In2H2 structure (GGA-PBE, the Alexandria database).

Lattice parameters (Å, degrees): 7.6596 6.3852 8.4391 112.23 117.01 90.00
Last column: nearest neighbours and their distance in Å.
Positions (direct):
Hf (0.9958, 0.9774, 0.5000)  2 H 2.04-2.10
Hf (0.7867, 0.7746, 0.0610)  1 H 2.06
Hf (0.0042, 0.4774, 0.5000)  2 H 2.04-2.10
Hf (0.7747, 0.2746, 0.0610)  1 H 2.06
Hf (0.2253, 0.2136, 0.9390)  1 H 2.06
Hf (0.5709, 0.6118, 0.2391)  2 H 2.02
Hf (0.4291, 0.3727, 0.7609)  2 H 2.02
Hf (0.1689, 0.1120, 0.2396)  2 H 2.02
Hf (0.2133, 0.7135, 0.9390)  1 H 2.06
Hf (0.8311, 0.8725, 0.7604)  2 H 2.02
In (0.4119, 0.8554, 0.7230)  1 H 2.83, 1 In 3.03, 3 Hf 3.08-3.16
In (0.8105, 0.3552, 0.7225)  1 H 2.83, 1 In 3.03, 4 Hf 3.08-3.17
In (0.5881, 0.1324, 0.2770)  1 H 2.83, 1 In 3.03, 3 Hf 3.08-3.16
In (0.1895, 0.6326, 0.2775)  1 H 2.83, 1 In 3.03, 4 Hf 3.08-3.17
H (0.0000, 0.1690, 0.0000)  4 Hf 2.02-2.06
H (0.1720, 0.2288, 0.5000)  4 Hf 2.02-2.10
H (0.5000, 0.6697, 0.0000)  4 Hf 2.02-2.06
H (0.8280, 0.7287, 0.5000)  4 Hf 2.02-2.10

Calculated values
space-group type	Ima2 (46)
relative energy among the computed polymorphs	0.0988	eV per atom
crystal system	orthorhombic
E_tot	-126.369	eV/cell

=====

# Al4SiPd

A geometry-optimized Al4SiPd structure (GGA-PBE, the Alexandria database).

Lattice parameters (Å, degrees): 7.3241 7.3241 7.3241 33.61 33.61 33.61
Last column: nearest neighbours and their distance in Å.
Positions (direct):
Pd (0.0000, 0.0000, 0.0000)  8 Al 2.49-2.56
Al (0.8800, 0.8800, 0.8800)  1 Pd 2.49, 3 Si 2.63
Al (0.3704, 0.3704, 0.3704)  3 Pd 2.56, 1 Si 2.68
Al (0.1200, 0.1200, 0.1200)  1 Pd 2.49, 3 Si 2.63
Al (0.6296, 0.6296, 0.6296)  3 Pd 2.56, 1 Si 2.68
Si (0.5000, 0.5000, 0.5000)  8 Al 2.63-2.68

Calculated values
space-group type	R-3m (166)
crystal system	trigonal
E_form (uncorrected)	-1.9	eV/f.u.
E_tot	-27.441	eV/cell

=====

# HfSbCI2

A geometry-optimized HfSbCI2 structure (GGA-PBE, the Alexandria database).

Lattice parameters (Å, degrees): 5.6014 5.6014 5.6871 90.00 90.00 90.00
Last column: nearest neighbours and their distance in Å.
Positions (direct):
Sb (0.0000, 0.0000, 0.5000)  2 Hf 2.84
I (0.0000, 0.5000, 0.0000)  2 Hf 2.80
I (0.5000, 0.0000, 0.0000)  2 Hf 2.80
Hf (0.0000, 0.0000, 0.0000)  4 I 2.80, 2 Sb 2.84
C (0.5000, 0.5000, 0.5000)  4 Sb 3.96, 8 I 3.99

Calculated values
space-group type	P4/mmm (123)
relative energy among the computed polymorphs	0.1441	eV per atom
crystal system	tetragonal
E_form (uncorrected)	6.6	eV/f.u.
E_tot	-19.813	eV/cell

=====

# La3NiSn

A geometry-optimized La3NiSn structure (GGA-PBE, the Alexandria database).

Lattice parameters (Å, degrees): 5.4041 5.4041 5.4041 90.00 90.00 90.00
Last column: nearest neighbours and their distance in Å.
Positions (direct):
La (0.5000, 0.0000, 0.0000)  2 Ni 2.70
La (0.0000, 0.0000, 0.5000)  2 Ni 2.70
La (0.0000, 0.5000, 0.0000)  2 Ni 2.70
Sn (0.5000, 0.5000, 0.5000)  12 La 3.82
Ni (0.0000, 0.0000, 0.0000)  6 La 2.70

Calculated values
formation energy from the elements	-398	meV/atom
space-group type	Pm-3m (221)
relative energy among the computed polymorphs	0.0482	eV per atom
crystal system	cubic
E_tot	-26.559	eV/cell

=====

# La7Pm2

A geometry-optimized La7Pm2 structure (GGA-PBE, the Alexandria database).

Lattice parameters (Å, degrees): 3.6638 10.1766 10.1766 120.00 90.00 90.00
Last column: nearest neighbours and their distance in Å.
Positions (direct):
La (0.5000, 0.0000, 0.0000)  11 La 3.61-3.69
La (0.0000, 0.0000, 0.3145)  2 Pm 3.49, 10 La 3.66-3.88
La (0.5000, 0.3548, 0.3548)  9 La 3.61-3.88, 4 Pm 3.76
La (0.0000, 0.6855, 0.6855)  2 Pm 3.49, 10 La 3.66-3.88
La (0.5000, 0.6452, 0.0000)  9 La 3.61-3.88, 4 Pm 3.76
La (0.5000, 0.0000, 0.6452)  9 La 3.61-3.88, 4 Pm 3.76
La (0.0000, 0.3145, 0.0000)  2 Pm 3.49, 10 La 3.66-3.88
Pm (0.0000, 0.3333, 0.6667)  9 La 3.49-3.76, 2 Pm 3.66
Pm (0.0000, 0.6667, 0.3333)  9 La 3.49-3.76, 2 Pm 3.66

Calculated values
formation energy from the elements	29	meV/atom
space-group type	P-62m (189)
relative energy among the computed polymorphs	0.0205	eV per atom
crystal system	hexagonal
E_tot	-43.732	eV/cell

=====

# CoSe2Br

A geometry-optimized CoSe2Br structure (GGA-PBE, the Alexandria database).

Lattice parameters (Å, degrees): 6.2707 6.2707 6.2707 150.32 99.20 88.36
Last column: nearest neighbours and their distance in Å.
Positions (direct):
Se (0.0366, 0.0366, 0.0000)  2 Co 2.38, 2 Se 2.61
Se (0.8072, 0.3072, 0.5000)  2 Se 2.61
Co (0.2326, 0.7326, 0.5000)  2 Br 2.35, 2 Se 2.38
Br (0.4236, 0.4236, 0.0000)  2 Co 2.35

Calculated values
space-group type	Imm2 (44)
relative energy among the computed polymorphs	0.5338	eV per atom
crystal system	orthorhombic
E_form (uncorrected)	1.3	eV/f.u.
E_tot	-14.438	eV/cell

=====

# NiIrSeBr2

A geometry-optimized NiIrSeBr2 structure (GGA-PBE, the Alexandria database).

Lattice parameters (Å, degrees): 5.2658 5.2658 4.6646 90.00 90.00 90.00
Last column: nearest neighbours and their distance in Å.
Positions (direct):
Br (0.5000, 0.0000, 0.0000)  2 Ir 2.63
Br (0.0000, 0.5000, 0.0000)  2 Ir 2.63
Ni (0.5000, 0.5000, 0.5000)  8 Br 3.52, 4 Se 3.72
Ir (0.0000, 0.0000, 0.0000)  2 Se 2.33
Se (0.0000, 0.0000, 0.5000)  2 Ir 2.33

Calculated values
space-group type	P4/mmm (123)
relative energy among the computed polymorphs	0.0000	eV per atom
crystal system	tetragonal
E_form (uncorrected)	4.0	eV/f.u.
E_tot	-17.453	eV/cell

=====

# AcCe2Ge2Ir2

A geometry-optimized AcCe2Ge2Ir2 structure (GGA-PBE, the Alexandria database).

Lattice parameters (Å, degrees): 4.4765 4.4765 9.3831 76.20 76.20 60.00
Last column: nearest neighbours and their distance in Å.
Positions (direct):
Ac (0.0000, 0.0000, 0.0000)  6 Ge 3.30, 6 Ir 3.64
Ce (0.8598, 0.8598, 0.4207)  3 Ir 2.86, 3 Ce 2.95, 4 Ge 3.12-3.18
Ce (0.1402, 0.1402, 0.5793)  3 Ir 2.86, 3 Ce 2.95, 4 Ge 3.12-3.18
Ge (0.7423, 0.7423, 0.7730)  3 Ir 2.63
Ge (0.2577, 0.2577, 0.2270)  3 Ir 2.63
Ir (0.4280, 0.4280, 0.7162)  3 Ge 2.63, 3 Ce 2.86
Ir (0.5720, 0.5720, 0.2838)  3 Ge 2.63, 3 Ce 2.86

Calculated values
formation energy from the elements	-754	meV/atom
space-group type	R-3m (166)
crystal system	trigonal
E_tot	-48.213	eV/cell

=====

# NaTlCo2Cl8

A geometry-optimized NaTlCo2Cl8 structure (GGA-PBE, the Alexandria database).

Lattice parameters (Å, degrees): 6.5234 6.5234 10.0201 71.00 71.00 60.00
Last column: nearest neighbours and their distance in Å.
Positions (direct):
Co (0.2478, 0.2478, 0.2566)  4 Cl 2.17-2.18
Co (0.7522, 0.7522, 0.7434)  4 Cl 2.17-2.18
Cl (0.7070, 0.0571, 0.8150)  1 Co 2.18
Cl (0.0571, 0.4210, 0.8150)  1 Co 2.18
Cl (0.9429, 0.5790, 0.1850)  1 Co 2.18
Cl (0.2930, 0.9429, 0.1850)  1 Co 2.18
Cl (0.5790, 0.2930, 0.1850)  1 Co 2.18
Cl (0.8302, 0.8302, 0.5093)  1 Co 2.17
Cl (0.1698, 0.1698, 0.4907)  1 Co 2.17
Cl (0.4210, 0.7070, 0.8150)  1 Co 2.18
Tl (0.5000, 0.5000, 0.5000)  12 Cl 3.61-3.77
Na (0.0000, 0.0000, 0.0000)  6 Cl 2.89

Calculated values
space-group type	R-3 (148)
crystal system	trigonal
E_form (uncorrected)	-9.8	eV/f.u.
E_tot	-42.431	eV/cell

=====

# Ba8BrN2

A geometry-optimized Ba8BrN2 structure (GGA-PBE, the Alexandria database).

Lattice parameters (Å, degrees): 9.5877 12.1754 12.2313 78.22 66.93 66.81
Last column: nearest neighbours and their distance in Å.
Positions (direct):
Ba (0.6196, 0.2189, 0.4799)  1 N 2.53
Ba (0.1263, 0.7090, 0.9588)  1 N 2.51
Ba (0.1841, 0.4492, 0.6764)  1 N 2.53
Ba (0.3185, 0.2811, 0.0201)  1 N 2.53
Ba (0.3804, 0.7811, 0.5201)  1 N 2.53
Ba (0.7941, 0.7910, 0.5412)  1 N 2.51
Ba (0.8159, 0.5508, 0.3236)  1 N 2.53
Ba (0.3097, 0.0508, 0.8236)  1 N 2.53
Ba (0.6815, 0.7189, 0.9799)  1 N 2.53
Ba (0.1536, 0.0013, 0.1850)  1 N 2.52
Ba (0.8737, 0.2910, 0.0412)  1 N 2.51
Ba (0.6903, 0.9492, 0.1764)  1 N 2.53
Ba (0.3399, 0.4987, 0.3150)  1 N 2.52
Ba (0.8464, 0.9987, 0.8149)  1 N 2.52
Ba (0.6601, 0.5013, 0.6851)  1 N 2.52
Ba (0.2059, 0.2090, 0.4588)  1 N 2.51
Br (0.0289, 0.7500, 0.2500)  6 Ba 3.40-3.54
Br (0.9711, 0.2500, 0.7500)  6 Ba 3.40-3.54
N (0.8389, 0.8416, 0.9849)  4 Ba 2.51-2.53
N (0.1611, 0.1584, 0.0151)  4 Ba 2.51-2.53
N (0.6655, 0.6584, 0.5151)  4 Ba 2.51-2.53
N (0.3345, 0.3416, 0.4849)  4 Ba 2.51-2.53

Calculated values
space-group type	C2/c (15)
crystal system	monoclinic
E_form (uncorrected)	-5.5	eV/f.u.
E_tot	-78.320	eV/cell

=====

# SrRuCl2

A geometry-optimized SrRuCl2 structure (GGA-PBE, the Alexandria database).

Lattice parameters (Å, degrees): 4.5515 4.4222 4.7580 78.15 90.00 90.00
Last column: nearest neighbours and their distance in Å.
Positions (direct):
Sr (0.5000, 0.7531, 0.7579)  5 Cl 2.85-3.08
Ru (0.0000, 0.2543, 0.4352)  4 Cl 2.35-2.44
Cl (0.0000, 0.1257, 0.9595)  2 Ru 2.44
Cl (0.5000, 0.3669, 0.3474)  2 Ru 2.35

Calculated values
space-group type	Pm (6)
relative energy among the computed polymorphs	0.0488	eV per atom
crystal system	monoclinic
E_form (uncorrected)	-2.8	eV/f.u.
E_tot	-17.416	eV/cell

=====

Among the records above, which one has the lowest E_tot?
Hf5In2H2

=====

What is the E_tot in the seventh record?
-14.438 eV/cell